DFT (PBE) results for a geometry-optimized BaCrFe structure.

## Properties
- offset from the most stable computed form (meV per atom) = 1027

Unit cell a=5.2519 b=5.2519 c=5.2519 alpha=60.00 beta=60.00 gamma=60.00
With the nearest neighbours (Å) after each atom.
Element x y z (fractional)
Ba1 0.7500 0.7500 0.7500  4 Fe 3.22, 4 Cr 3.22
Fe1 0.5000 0.5000 0.5000  4 Ba 3.22
Cr1 0.0000 0.0000 0.0000  4 Ba 3.22

---

DFT (PBE) results for a geometry-optimized CrMo2Pb structure.

Unit cell a=5.2834 b=5.3437 c=2.9119 alpha=79.89 beta=78.69 gamma=116.16
With the nearest neighbours (Å) after each atom.
Element x y z (fractional)
Cr1 0.5000 0.5000 0.0000  2 Pb 2.75, 4 Mo 2.81, 2 Cr 2.91
Mo1 0.5000 0.0000 0.5000  4 Mo 2.75-2.91, 2 Cr 2.81, 2 Pb 2.81
Mo2 0.0000 0.0000 0.0000  4 Mo 2.75-2.91, 2 Pb 2.81, 2 Cr 2.81
Pb1 0.0000 0.5000 0.5000  2 Cr 2.75, 4 Mo 2.81, 2 Pb 2.91

---

| no. | D(E_F) (states/eV/atom) | mass density (g cm⁻³) | E_form (eV/atom) |
| --- | --- | --- | --- |
| 1 | 0.550 | 4.0 | 1.7433 |
| 2 | 0.935 | 10.8 | 0.7367 |